[1]
A plane-wave DFT calculation with PBE-GGA was carried out for crystalline LiMgZnBi at its relaxed geometry.

Computed properties:
Polymorph energy (0 for the lowest one), meV per atom: 0
Space group: F-43m, No. 216

a b c (Å): 4.9456 4.9456 4.9456
angles (deg): 60.00 60.00 60.00
Positions (direct):
Bi (0.2500, 0.2500, 0.2500)
Li (0.0000, 0.0000, 0.0000)
Mg (0.5000, 0.5000, 0.5000)
Zn (0.7500, 0.7500, 0.7500)

[2]
A plane-wave DFT calculation with PBE-GGA was carried out for crystalline LiMgZnBi at its relaxed geometry.

Computed properties:
Polymorph energy (0 for the lowest one), meV per atom: 103
Space group: F-43m, No. 216

a b c (Å): 4.9540 4.9540 4.9540
angles (deg): 60.00 60.00 60.00
Positions (direct):
Bi (0.0000, 0.0000, 0.0000)
Li (0.2500, 0.2500, 0.2500)
Mg (0.5000, 0.5000, 0.5000)
Zn (0.7500, 0.7500, 0.7500)

[3]
A plane-wave DFT calculation with PBE-GGA was carried out for crystalline LiBiMo at its relaxed geometry.

Computed properties:
Raw total energy, eV per atom: -4.85
Total magnetization, μB/cell: 3.065
Space group: F-43m, No. 216

a b c (Å): 4.4339 4.4339 4.4339
angles (deg): 60.00 60.00 60.00
Positions (direct):
Bi (0.2500, 0.2500, 0.2500)
Li (0.0000, 0.0000, 0.0000)
Mo (0.7500, 0.7500, 0.7500)

[4]
A plane-wave DFT calculation with PBE-GGA was carried out for crystalline LiBi2Mo at its relaxed geometry.

Computed properties:
Raw total energy, eV per atom: -4.53
Total magnetization, μB/cell: 2.801
Space group: F-43m, No. 216

a b c (Å): 5.1162 5.1162 5.1162
angles (deg): 60.00 60.00 60.00
Each line ends with the local moment (μB).
Positions (direct):
Bi (0.0000, 0.0000, 0.0000)  -0.08
Bi (0.2500, 0.2500, 0.2500)  -0.10
Li (0.7500, 0.7500, 0.7500)  0.01
Mo (0.5000, 0.5000, 0.5000)  2.43

[5]
A plane-wave DFT calculation with PBE-GGA was carried out for crystalline LiBi5Mo3 at its relaxed geometry.

Computed properties:
Raw total energy, eV per atom: -5.81
Total magnetization, μB/cell: 0.002
Space group: P6/mmm, No. 191

a b c (Å): 5.6779 5.6779 8.7930
angles (deg): 90.00 90.00 120.00
Positions (direct):
Bi (0.6667, 0.3333, 0.2149)
Bi (0.3333, 0.6667, 0.2149)
Bi (0.0000, 0.0000, 0.5000)
Bi (0.6667, 0.3333, 0.7851)
Bi (0.3333, 0.6667, 0.7851)
Li (0.0000, 0.0000, 0.0000)
Mo (0.5000, 0.0000, 0.5000)
Mo (0.0000, 0.5000, 0.5000)
Mo (0.5000, 0.5000, 0.5000)

[6]
A plane-wave DFT calculation with PBE-GGA was carried out for crystalline Li2BiMo at its relaxed geometry.

Computed properties:
Raw total energy, eV per atom: -4.34
Total magnetization, μB/cell: 1.821
Space group: F-43m, No. 216

a b c (Å): 4.6609 4.6609 4.6609
angles (deg): 60.00 60.00 60.00
Each line ends with the local moment (μB).
Positions (direct):
Bi (0.5000, 0.5000, 0.5000)  -0.04
Li (0.0000, 0.0000, 0.0000)  0.01
Li (0.7500, 0.7500, 0.7500)  -0.01
Mo (0.2500, 0.2500, 0.2500)  1.54

[7]
A plane-wave DFT calculation with PBE-GGA was carried out for crystalline LiNiBiMo at its relaxed geometry.

Computed properties:
Polymorph energy (0 for the lowest one), meV per atom: 44
Total magnetization, μB/cell: 0.820
Space group: F-43m, No. 216

a b c (Å): 4.5082 4.5082 4.5082
angles (deg): 60.00 60.00 60.00
Positions (direct):
Bi (0.0000, 0.0000, 0.0000)
Li (0.5000, 0.5000, 0.5000)
Mo (0.2500, 0.2500, 0.2500)
Ni (0.7500, 0.7500, 0.7500)

[8]
A plane-wave DFT calculation with PBE-GGA was carried out for crystalline LiNiBiMo at its relaxed geometry.

Computed properties:
Polymorph energy (0 for the lowest one), meV per atom: 0
Total magnetization, μB/cell: 3.352
Space group: F-43m, No. 216

a b c (Å): 4.5229 4.5229 4.5229
angles (deg): 60.00 60.00 60.00
Positions (direct):
Bi (0.0000, 0.0000, 0.0000)
Li (0.2500, 0.2500, 0.2500)
Mo (0.5000, 0.5000, 0.5000)
Ni (0.7500, 0.7500, 0.7500)